# 1
VASP calculation (PBE) on an optimized crystal structure of Ru3PbC.

```
data_Ru3PbC
_chemical_formula_sum 'Ru3 Pb1 C1'
_cell_length_a 4.145
_cell_length_b 4.145
_cell_length_c 4.145
_cell_angle_alpha 90.00
_cell_angle_beta 90.00
_cell_angle_gamma 90.00
_symmetry_space_group_name_H-M 'P m -3 m'
_symmetry_Int_Tables_number 221
_symmetry_space_group_name_Hall '-P 4 2 3'
loop_
_atom_site_label
_atom_site_fract_x
_atom_site_fract_y
_atom_site_fract_z
Ru1 0.000 0.000 0.500
Pb1 0.500 0.500 0.500
C1 0.000 0.000 0.000
```

Summary:
The volume comes out at 14.25 A^3/atom. For the total DFT energy (no corrections), the calculation gives -7.85 eV/atom. For the offset from the most stable computed form, the calculation gives 0 meV/atom. The crystal system is cubic. As for the formation energy: 1.49 eV per formula unit.


# 2
VASP calculation (PBE) on an optimized crystal structure of Mg2AuSe.

```
data_Mg2AuSe
_chemical_formula_sum 'Mg6 Au3 Se3'
_cell_length_a 4.2309
_cell_length_b 4.2309
_cell_length_c 19.4369
_cell_angle_alpha 90.00
_cell_angle_beta 90.00
_cell_angle_gamma 120.00
_symmetry_space_group_name_H-M 'R 3 m'
_symmetry_Int_Tables_number 160
_symmetry_space_group_name_Hall 'R 3 -2"'
loop_
_atom_site_label
_atom_site_fract_x
_atom_site_fract_y
_atom_site_fract_z
Mg1 0.0000 0.0000 0.0000
Mg2 0.0000 0.0000 0.2042
Au1 0.0000 0.0000 0.7159
Se1 0.0000 0.0000 0.4999
```

Summary:
The volume comes out at 25.11 A^3/atom. For the total DFT energy (no corrections), the calculation gives -2.85 eV/atom. As for the uncorrected formation energy: -0.367 eV per atom. The crystal system is trigonal.


# 3
VASP calculation (PBE) on an optimized crystal structure of ZnNi3.

```
data_ZnNi3
_chemical_formula_sum 'Zn2 Ni6'
_cell_length_a 3.618
_cell_length_b 3.618
_cell_length_c 6.990
_cell_angle_alpha 90.00
_cell_angle_beta 90.00
_cell_angle_gamma 90.00
_symmetry_space_group_name_H-M 'I 4/m m m'
_symmetry_Int_Tables_number 139
_symmetry_space_group_name_Hall '-I 4 2'
loop_
_atom_site_label
_atom_site_fract_x
_atom_site_fract_y
_atom_site_fract_z
Zn1 0.000 0.000 0.000
Ni1 0.000 0.000 0.500
Ni2 0.000 0.500 0.250
```

Summary:
The volume comes out at 11.44 A^3/atom. For the total DFT energy (no corrections), the calculation gives -4.77 eV/atom. The crystal system is tetragonal. As for the formation energy: -0.45 eV per formula unit.


# 4
VASP calculation (PBE) on an optimized crystal structure of FeGeSe2Br.

```
data_FeGeSe2Br
_chemical_formula_sum 'Fe1 Ge1 Se2 Br1'
_cell_length_a 5.022
_cell_length_b 5.022
_cell_length_c 5.150
_cell_angle_alpha 90.00
_cell_angle_beta 90.00
_cell_angle_gamma 90.00
_symmetry_space_group_name_H-M 'P 4/m m m'
_symmetry_Int_Tables_number 123
_symmetry_space_group_name_Hall '-P 4 2'
loop_
_atom_site_label
_atom_site_fract_x
_atom_site_fract_y
_atom_site_fract_z
Fe1 0.000 0.000 0.000
Ge1 0.500 0.500 0.500
Se1 0.000 0.500 0.500
Br1 0.500 0.500 0.000
```

Summary:
The volume comes out at 25.97 A^3/atom. For the total DFT energy (no corrections), the calculation gives -3.71 eV/atom. As for the uncorrected formation energy: 0.639 eV per atom. For the offset from the most stable computed form, the calculation gives 373 meV/atom. The crystal system is tetragonal.


# 5
VASP calculation (PBE) on an optimized crystal structure of MnHgBi2I.

```
data_MnHgBi2I
_chemical_formula_sum 'Mn1 Hg1 Bi2 I1'
_cell_length_a 6.139
_cell_length_b 6.139
_cell_length_c 5.031
_cell_angle_alpha 90.00
_cell_angle_beta 90.00
_cell_angle_gamma 90.00
_symmetry_space_group_name_H-M 'P 4/m m m'
_symmetry_Int_Tables_number 123
_symmetry_space_group_name_Hall '-P 4 2'
loop_
_atom_site_label
_atom_site_fract_x
_atom_site_fract_y
_atom_site_fract_z
Mn1 0.000 0.000 0.000
Hg1 0.500 0.500 0.000
Bi1 0.000 0.500 0.500
I1 0.000 0.000 0.500
```

Summary:
The volume comes out at 37.92 A^3/atom. For the total DFT energy (no corrections), the calculation gives -2.76 eV/atom. As for the uncorrected formation energy: 0.993 eV per atom. The crystal system is tetragonal.


# 6
VASP calculation (PBE) on an optimized crystal structure of Zr2TeRuRh.

```
data_Zr2TeRuRh
_chemical_formula_sum 'Zr2 Te1 Ru1 Rh1'
_cell_length_a 4.988
_cell_length_b 4.988
_cell_length_c 4.774
_cell_angle_alpha 90.00
_cell_angle_beta 90.00
_cell_angle_gamma 90.00
_symmetry_space_group_name_H-M 'P 4/m m m'
_symmetry_Int_Tables_number 123
_symmetry_space_group_name_Hall '-P 4 2'
loop_
_atom_site_label
_atom_site_fract_x
_atom_site_fract_y
_atom_site_fract_z
Zr1 0.000 0.500 0.000
Te1 0.000 0.000 0.500
Ru1 0.500 0.500 0.000
Rh1 0.500 0.500 0.500
```

Summary:
The volume comes out at 23.76 A^3/atom. For the total DFT energy (no corrections), the calculation gives -7.05 eV/atom. As for the uncorrected formation energy: 0.320 eV per atom. The crystal system is tetragonal.


| no. | D(E_F) (states/eV per atom) |
| --- | --- |
| 1 | 0.347 |
| 2 | 0.325 |
| 3 | 1.231 |
| 4 | 1.248 |
| 5 | 1.103 |
| 6 | 1.127 |